# 1
VASP calculation (PBE-GGA) on a geometry-optimized Tb2GaCu4Ge3 structure.

POSCAR file:
```
Tb2GaCu4Ge3
1.0
4.091 0.000 0.000
0.000 4.091 0.000
0.000 0.000 10.238
Tb Ga Cu Ge
2 1 4 3
Cartesian
0.000 2.046 2.500
2.046 0.000 7.738
0.000 0.000 5.119
0.000 0.000 0.000
0.000 2.046 6.515
2.046 0.000 3.723
2.046 2.046 0.000
0.000 2.046 8.878
2.046 0.000 1.361
2.046 2.046 5.119
```

Output
For the final energy, the calculation gives -4.7527 eV per atom. As for the density of states at the Fermi level: 4.79 states/eV/f.u.

***

# 2
VASP calculation (PBE-GGA) on a geometry-optimized PmHfSc3 structure.

POSCAR file:
```
PmHfSc3
1.0
5.697 0.000 0.000
1.862 6.363 0.000
1.838 1.141 7.008
Pm Hf Sc
2 2 6
Cartesian
1.397 1.351 2.059
8.000 6.153 4.949
4.289 3.916 6.315
5.109 3.588 0.693
2.325 4.431 1.995
5.155 7.021 6.324
4.246 2.262 3.521
5.152 5.242 3.487
4.243 0.483 0.684
7.073 3.073 5.013
```

Output
For the final energy, the calculation gives -6.6514 eV per atom. As for the density of states at the Fermi level: 7.28 states/eV/f.u. The offset from the most stable computed form comes out at 0.000 eV per atom.

***

# 3
VASP calculation (PBE-GGA) on a geometry-optimized YBe2Ru structure.

POSCAR file:
```
YBe2Ru
1.0
1.927 1.112 4.862
-1.927 1.112 4.862
0.000 -2.225 4.862
Y Be Ru
1 2 1
Cartesian
0.000 0.000 0.000
0.000 0.000 2.879
0.000 0.000 11.708
0.000 0.000 7.294
```

Output
For the final energy, the calculation gives -6.0464 eV per atom. As for the density of states at the Fermi level: 3.39 states/eV/f.u. The offset from the most stable computed form comes out at 0.003 eV per atom.

***

| no. | calculated formation energy (meV per atom) | magnetic moment (μB per formula unit) |
| --- | --- | --- |
| 1 | -500 | 0.0 |
| 2 | 88 | 0.0 |
| 3 | -248 | 0.0 |